1.
Below is a geometry-optimized Tl14Ge2Se9 structure, with properties calculated at the PBE-GGA level.

Summary:
SG ... P-3 (147)
Energy ... -3.258 eV/atom
E_form (uncorrected) ... -0.3089 eV per atom
Spin magnetization ... 0.00 μB per formula unit
V ... 36.52 A^3/atom

Unit cell a=8.3886 b=8.3886 c=14.9821 alpha=90.00 beta=90.00 gamma=120.00
Element x y z (fractional)
Tl (0.9737, 0.6431, 0.9013)
Tl (0.3060, 0.8906, 0.5774)
Tl (0.1094, 0.4153, 0.5774)
Tl (0.0000, 0.0000, 0.2442)
Tl (0.0000, 0.0000, 0.7558)
Tl (0.3569, 0.3306, 0.9013)
Tl (0.6694, 0.0263, 0.9013)
Tl (0.4153, 0.3060, 0.4226)
Tl (0.5847, 0.6940, 0.5774)
Tl (0.3306, 0.9737, 0.0987)
Tl (0.6431, 0.6694, 0.0987)
Tl (0.8906, 0.5847, 0.4226)
Tl (0.6940, 0.1094, 0.4226)
Tl (0.0263, 0.3569, 0.0987)
Ge (0.3333, 0.6667, 0.2815)
Ge (0.6667, 0.3333, 0.7185)
Se (0.2578, 0.8924, 0.3591)
Se (0.1076, 0.3654, 0.3591)
Se (0.3333, 0.6667, 0.9786)
Se (0.0000, 0.0000, 0.0000)
Se (0.3654, 0.2578, 0.6409)
Se (0.6346, 0.7422, 0.3591)
Se (0.6667, 0.3333, 0.0214)
Se (0.8924, 0.6346, 0.6409)
Se (0.7422, 0.1076, 0.6409)

2.
Below is a geometry-optimized Tl2Ge2Se5 structure, with properties calculated at the PBE-GGA level.

Summary:
SG ... C2/m (12)
Energy ... -3.652 eV/atom
E_form (uncorrected) ... -0.1638 eV per atom
Spin magnetization ... 0.00 μB per formula unit
V ... 30.13 A^3/atom

Unit cell a=5.0362 b=6.9364 c=8.5588 alpha=102.35 beta=90.00 gamma=111.29
Element x y z (fractional)
Tl (0.4042, 0.8084, 0.6335)
Tl (0.5958, 0.1916, 0.3665)
Ge (0.1698, 0.3397, 0.8776)
Ge (0.8302, 0.6603, 0.1224)
Se (0.3610, 0.7219, 0.0411)
Se (0.6390, 0.2781, 0.9589)
Se (0.1578, 0.3155, 0.6000)
Se (0.8422, 0.6845, 0.4000)
Se (0.0000, 0.0000, 0.0000)

3.
Below is a geometry-optimized Tl2GeSe2 structure, with properties calculated at the PBE-GGA level.

Summary:
SG ... P4/mbm (127)
Energy ... -3.328 eV/atom
E_form (uncorrected) ... -0.0642 eV per atom
Spin magnetization ... 0.00 μB per formula unit
V ... 28.25 A^3/atom

Unit cell a=7.7378 b=7.7378 c=4.7181 alpha=90.00 beta=90.00 gamma=90.00
Element x y z (fractional)
Tl (0.1457, 0.6457, 0.5000)
Tl (0.6457, 0.8543, 0.5000)
Tl (0.8543, 0.3543, 0.5000)
Tl (0.3543, 0.1457, 0.5000)
Ge (0.0000, 0.0000, 0.0000)
Ge (0.5000, 0.5000, 0.0000)
Se (0.3238, 0.8238, 0.0000)
Se (0.8238, 0.6762, 0.0000)
Se (0.6762, 0.1762, 0.0000)
Se (0.1762, 0.3238, 0.0000)

4.
Below is a geometry-optimized Tl3Ge2Se4 structure, with properties calculated at the PBE-GGA level.

Summary:
SG ... C2/c (15)
Energy ... -3.672 eV/atom
E_form (uncorrected) ... -0.3087 eV per atom
Spin magnetization ... 0.00 μB per formula unit
V ... 32.61 A^3/atom

Unit cell a=8.1676 b=8.8974 c=9.2230 alpha=118.84 beta=91.24 gamma=90.00
Element x y z (fractional)
Tl (0.1128, 0.7560, 0.7425)
Tl (0.3872, 0.0135, 0.2575)
Tl (0.8872, 0.2440, 0.2575)
Tl (0.6128, 0.9865, 0.7425)
Tl (0.7500, 0.5049, 0.0000)
Tl (0.2500, 0.4951, 0.0000)
Ge (0.5171, 0.5413, 0.3847)
Ge (0.9829, 0.1565, 0.6153)
Ge (0.4829, 0.4587, 0.6153)
Ge (0.0171, 0.8435, 0.3847)
Se (0.5008, 0.7086, 0.8763)
Se (0.9992, 0.8324, 0.1237)
Se (0.4992, 0.2914, 0.1237)
Se (0.0008, 0.1676, 0.8763)
Se (0.8107, 0.6688, 0.4390)
Se (0.6893, 0.2298, 0.5610)
Se (0.1893, 0.3312, 0.5610)
Se (0.3107, 0.7702, 0.4390)